Crystalline MgCdOs2 at its relaxed geometry. Source: the Alexandria database, functional PBE.

a b c (Å): 2.807 2.807 9.646
angles (deg): 90.00 90.00 117.51
Each line ends with the local moment (μB).
Sites, in units of the cell vectors:
Mg: 0.500 0.500 0.770  0.00
Os: 0.500 0.500 0.230  0.49
Os: 0.000 0.000 0.008  0.38
Cd: 0.000 0.000 0.492  0.00



Crystalline MgCd2Os at its relaxed geometry. Source: the Alexandria database, functional PBE.

a b c (Å): 2.898 2.898 10.115
angles (deg): 90.00 90.00 117.87
Sites, in units of the cell vectors:
Cd: 0.000 0.000 0.988
Cd: 0.000 0.000 0.512
Mg: 0.500 0.500 0.250
Os: 0.500 0.500 0.750



Crystalline Mg2CdOs at its relaxed geometry. Source: the Alexandria database, functional PBE.

a b c (Å): 5.223 5.223 5.223
angles (deg): 139.79 129.05 66.82
Sites, in units of the cell vectors:
Mg: 0.990 0.990 0.000
Mg: 0.510 0.510 0.000
Os: 0.750 0.250 0.500
Cd: 0.250 0.750 0.500



| no. | energy of formation (meV per atom) | DFT total energy (eV/atom) | spin magnetization (μB/atom) |
| --- | --- | --- | --- |
| 1 | 495 | -5.748 | 0.232 |
| 2 | 452 | -3.211 | 0.007 |
| 3 | 227 | -3.606 | 0.000 |